No. 1
A geometry-optimized Zr3SnN2 structure, computed with PBE-GGA.

Unit cell a=3.260 b=3.260 c=20.275 alpha=90.00 beta=90.00 gamma=120.00
Fractional coordinates of all 12 atoms:
Sn (0.000, 0.000, 0.250)
Zr (0.667, 0.333, 0.131)
N (0.667, 0.333, 0.935)
N (0.333, 0.667, 0.435)
N (0.667, 0.333, 0.565)
N (0.333, 0.667, 0.065)
Zr (0.333, 0.667, 0.869)
Sn (0.000, 0.000, 0.750)
Zr (0.000, 0.000, 0.000)
Zr (0.333, 0.667, 0.631)
Zr (0.000, 0.000, 0.500)
Zr (0.667, 0.333, 0.369)

**Electronic total energy**: -9.010 eV/atom



No. 2
A geometry-optimized Sr3TbN3 structure, computed with PBE-GGA.

Unit cell a=8.053 b=8.053 c=5.385 alpha=90.00 beta=90.00 gamma=120.00
Fractional coordinates of all 14 atoms:
N (0.073, 0.372, 0.250)
Sr (0.936, 0.670, 0.250)
Tb (0.333, 0.667, 0.250)
Tb (0.667, 0.333, 0.750)
Sr (0.064, 0.330, 0.750)
N (0.372, 0.299, 0.750)
Sr (0.266, 0.936, 0.750)
N (0.927, 0.628, 0.750)
Sr (0.330, 0.266, 0.250)
N (0.628, 0.701, 0.250)
Sr (0.734, 0.064, 0.250)
N (0.701, 0.073, 0.750)
Sr (0.670, 0.734, 0.750)
N (0.299, 0.927, 0.250)

**Electronic total energy**: -5.519 eV/atom



No. 3
A geometry-optimized Sr3TcN4 structure, computed with PBE-GGA.

Unit cell a=7.866 b=6.988 c=5.618 alpha=90.00 beta=90.00 gamma=90.00
Fractional coordinates of all 16 atoms:
N (0.699, 0.299, 0.087)
Sr (0.757, 0.334, 0.538)
Sr (0.000, 0.139, 0.035)
N (0.000, 0.088, 0.566)
Tc (0.000, 0.826, 0.496)
N (0.500, 0.912, 0.066)
N (0.199, 0.701, 0.587)
N (0.000, 0.815, 0.169)
N (0.301, 0.299, 0.087)
Sr (0.243, 0.334, 0.538)
N (0.500, 0.185, 0.669)
N (0.801, 0.701, 0.587)
Sr (0.500, 0.861, 0.535)
Sr (0.743, 0.666, 0.038)
Sr (0.257, 0.666, 0.038)
Tc (0.500, 0.174, 0.996)

**Electronic total energy**: -6.726 eV/atom



No. 4
A geometry-optimized Sr2YTcN6 structure, computed with PBE-GGA.

Unit cell a=5.859 b=5.873 c=5.939 alpha=61.08 beta=61.59 gamma=60.40
Fractional coordinates of all 10 atoms:
N (0.726, 0.311, 0.197)
N (0.154, 0.280, 0.303)
N (0.264, 0.217, 0.821)
N (0.274, 0.689, 0.803)
N (0.846, 0.720, 0.697)
Y (0.500, 0.000, 0.500)
Sr (0.251, 0.752, 0.239)
N (0.736, 0.783, 0.179)
Sr (0.749, 0.248, 0.761)
Tc (0.000, 0.500, 0.000)

**Electronic total energy**: -7.034 eV/atom



No. 5
A geometry-optimized Sr2ZnTcN6 structure, computed with PBE-GGA.

Unit cell a=5.649 b=5.649 c=5.649 alpha=120.25 beta=120.25 gamma=89.57
Fractional coordinates of all 10 atoms:
N (0.245, 0.245, 0.490)
N (0.244, 0.244, 0.000)
Sr (0.750, 0.250, 0.500)
Zn (0.500, 0.500, 0.000)
Tc (0.000, 0.000, 0.000)
Sr (0.250, 0.750, 0.500)
N (0.756, 0.756, 0.000)
N (0.755, 0.245, 0.000)
N (0.755, 0.755, 0.510)
N (0.245, 0.755, 0.000)

**Electronic total energy**: -6.064 eV/atom



No. 6
A geometry-optimized Sr2ZrTcN6 structure, computed with PBE-GGA.

Unit cell a=5.800 b=5.806 c=5.811 alpha=60.12 beta=60.14 gamma=60.03
Fractional coordinates of all 10 atoms:
N (0.769, 0.737, 0.754)
N (0.244, 0.257, 0.765)
Tc (0.000, 0.500, 0.000)
Zr (0.500, 0.000, 0.500)
Sr (0.749, 0.250, 0.750)
N (0.756, 0.743, 0.235)
N (0.241, 0.736, 0.764)
N (0.231, 0.263, 0.246)
N (0.759, 0.264, 0.236)
Sr (0.251, 0.750, 0.250)

**Electronic total energy**: -7.469 eV/atom